[1]
# LiScPaAl

LiScPaAl after structural relaxation (PBE, Alexandria via LeMat-Bulk).

```
data_LiScPaAl
_cell_length_a 6.941
_cell_length_b 6.941
_cell_length_c 6.941
_cell_angle_alpha 90.00
_cell_angle_beta 90.00
_cell_angle_gamma 90.00
_symmetry_space_group_name_H-M 'P 1'
_symmetry_Int_Tables_number 1
loop_
_symmetry_equiv_pos_as_xyz
'x,y,z'
loop_
_atom_site_label
_atom_site_type_symbol
_atom_site_fract_x
_atom_site_fract_y
_atom_site_fract_z
_atom_site_occupancy
Li1 Li 0.000 0.000 0.000 1
Li2 Li 0.000 0.500 0.500 1
Li3 Li 0.500 0.000 0.500 1
Li4 Li 0.500 0.500 0.000 1
Sc1 Sc 0.250 0.250 0.250 1
Sc2 Sc 0.250 0.750 0.750 1
Sc3 Sc 0.750 0.250 0.750 1
Sc4 Sc 0.750 0.750 0.250 1
Pa1 Pa 0.250 0.250 0.750 1
Pa2 Pa 0.250 0.750 0.250 1
Pa3 Pa 0.750 0.250 0.250 1
Pa4 Pa 0.750 0.750 0.750 1
Al1 Al 0.000 0.000 0.500 1
Al2 Al 0.000 0.500 0.000 1
Al3 Al 0.500 0.000 0.000 1
Al4 Al 0.500 0.500 0.500 1
```

Calculated values
symmetry: F-43m
ΔE_f: 0.0694 eV/atom
crystal system: cubic
volume: 20.9 Å³/atom

[2]
# LiTmPaAl

LiTmPaAl after structural relaxation (PBE, Alexandria via LeMat-Bulk).

```
data_LiTmPaAl
_cell_length_a 7.098
_cell_length_b 7.098
_cell_length_c 7.098
_cell_angle_alpha 90.00
_cell_angle_beta 90.00
_cell_angle_gamma 90.00
_symmetry_space_group_name_H-M 'P 1'
_symmetry_Int_Tables_number 1
loop_
_symmetry_equiv_pos_as_xyz
'x,y,z'
loop_
_atom_site_label
_atom_site_type_symbol
_atom_site_fract_x
_atom_site_fract_y
_atom_site_fract_z
_atom_site_occupancy
Li1 Li 0.000 0.000 0.000 1
Li2 Li 0.000 0.500 0.500 1
Li3 Li 0.500 0.000 0.500 1
Li4 Li 0.500 0.500 0.000 1
Tm1 Tm 0.250 0.250 0.250 1
Tm2 Tm 0.250 0.750 0.750 1
Tm3 Tm 0.750 0.250 0.750 1
Tm4 Tm 0.750 0.750 0.250 1
Pa1 Pa 0.250 0.250 0.750 1
Pa2 Pa 0.250 0.750 0.250 1
Pa3 Pa 0.750 0.250 0.250 1
Pa4 Pa 0.750 0.750 0.750 1
Al1 Al 0.000 0.000 0.500 1
Al2 Al 0.000 0.500 0.000 1
Al3 Al 0.500 0.000 0.000 1
Al4 Al 0.500 0.500 0.500 1
```

Calculated values
symmetry: F-43m
ΔE_f: 0.0939 eV/atom
crystal system: cubic
volume: 22.3 Å³/atom

[3]
# LiPaAlZn

LiPaAlZn after structural relaxation (PBE, Alexandria via LeMat-Bulk).

```
data_LiPaAlZn
_cell_length_a 6.655
_cell_length_b 6.655
_cell_length_c 6.655
_cell_angle_alpha 90.00
_cell_angle_beta 90.00
_cell_angle_gamma 90.00
_symmetry_space_group_name_H-M 'P 1'
_symmetry_Int_Tables_number 1
loop_
_symmetry_equiv_pos_as_xyz
'x,y,z'
loop_
_atom_site_label
_atom_site_type_symbol
_atom_site_fract_x
_atom_site_fract_y
_atom_site_fract_z
_atom_site_occupancy
Li1 Li 0.000 0.000 0.000 1
Li2 Li 0.000 0.500 0.500 1
Li3 Li 0.500 0.000 0.500 1
Li4 Li 0.500 0.500 0.000 1
Pa1 Pa 0.250 0.250 0.250 1
Pa2 Pa 0.250 0.750 0.750 1
Pa3 Pa 0.750 0.250 0.750 1
Pa4 Pa 0.750 0.750 0.250 1
Al1 Al 0.250 0.250 0.750 1
Al2 Al 0.250 0.750 0.250 1
Al3 Al 0.750 0.250 0.250 1
Al4 Al 0.750 0.750 0.750 1
Zn1 Zn 0.000 0.000 0.500 1
Zn2 Zn 0.000 0.500 0.000 1
Zn3 Zn 0.500 0.000 0.000 1
Zn4 Zn 0.500 0.500 0.500 1
```

Calculated values
symmetry: F-43m
ΔE_f: 0.0600 eV/atom
crystal system: cubic
volume: 18.4 Å³/atom

[4]
# LiAl2Pb2

LiAl2Pb2 after structural relaxation (PBE, Alexandria via LeMat-Bulk).

```
data_LiAl2Pb2
_cell_length_a 4.980
_cell_length_b 4.980
_cell_length_c 11.277
_cell_angle_alpha 90.00
_cell_angle_beta 90.00
_cell_angle_gamma 90.00
_symmetry_space_group_name_H-M 'P 1'
_symmetry_Int_Tables_number 1
loop_
_symmetry_equiv_pos_as_xyz
'x,y,z'
loop_
_atom_site_label
_atom_site_type_symbol
_atom_site_fract_x
_atom_site_fract_y
_atom_site_fract_z
_atom_site_occupancy
Li1 Li 0.000 0.000 0.000 1
Li2 Li 0.500 0.500 0.500 1
Al1 Al 0.000 0.000 0.388 1
Al2 Al 0.000 0.000 0.612 1
Al3 Al 0.500 0.500 0.112 1
Al4 Al 0.500 0.500 0.888 1
Pb1 Pb 0.000 0.500 0.250 1
Pb2 Pb 0.000 0.500 0.750 1
Pb3 Pb 0.500 0.000 0.250 1
Pb4 Pb 0.500 0.000 0.750 1
```

Calculated values
energy relative to the lowest polymorph listed for this composition: 102 meV/atom
symmetry: I4/mmm
ΔE_f: 0.1853 eV/atom
crystal system: tetragonal
volume: 28.0 Å³/atom

[5]
# LiAlPb

LiAlPb after structural relaxation (PBE, Alexandria via LeMat-Bulk).

```
data_LiAlPb
_cell_length_a 5.267
_cell_length_b 8.431
_cell_length_c 5.745
_cell_angle_alpha 90.00
_cell_angle_beta 90.00
_cell_angle_gamma 90.00
_symmetry_space_group_name_H-M 'P 1'
_symmetry_Int_Tables_number 1
loop_
_symmetry_equiv_pos_as_xyz
'x,y,z'
loop_
_atom_site_label
_atom_site_type_symbol
_atom_site_fract_x
_atom_site_fract_y
_atom_site_fract_z
_atom_site_occupancy
Li1 Li 0.000 0.193 0.250 1
Li2 Li 0.000 0.807 0.750 1
Li3 Li 0.500 0.307 0.750 1
Li4 Li 0.500 0.693 0.250 1
Al1 Al 0.000 0.500 0.000 1
Al2 Al 0.000 0.500 0.500 1
Al3 Al 0.500 0.000 0.000 1
Al4 Al 0.500 0.000 0.500 1
Pb1 Pb 0.000 0.155 0.750 1
Pb2 Pb 0.000 0.845 0.250 1
Pb3 Pb 0.500 0.345 0.250 1
Pb4 Pb 0.500 0.655 0.750 1
```

Calculated values
symmetry: Cmcm
ΔE_f: -0.0080 eV/atom
crystal system: orthorhombic
volume: 21.3 Å³/atom

[6]
# LiAlPb

LiAlPb after structural relaxation (PBE, Alexandria via LeMat-Bulk).

```
data_LiAlPb
_cell_length_a 5.005
_cell_length_b 5.005
_cell_length_c 3.170
_cell_angle_alpha 90.00
_cell_angle_beta 90.00
_cell_angle_gamma 120.00
_symmetry_space_group_name_H-M 'P 1'
_symmetry_Int_Tables_number 1
loop_
_symmetry_equiv_pos_as_xyz
'x,y,z'
loop_
_atom_site_label
_atom_site_type_symbol
_atom_site_fract_x
_atom_site_fract_y
_atom_site_fract_z
_atom_site_occupancy
Li1 Li 0.000 0.000 0.000 1
Al1 Al 0.333 0.667 0.500 1
Pb1 Pb 0.667 0.333 0.500 1
```

Calculated values
symmetry: P-6m2
ΔE_f: 0.0226 eV/atom
crystal system: hexagonal
volume: 22.9 Å³/atom

[7]
# LiAlPb

LiAlPb after structural relaxation (PBE, Alexandria via LeMat-Bulk).

```
data_LiAlPb
_cell_length_a 3.235
_cell_length_b 4.546
_cell_length_c 9.424
_cell_angle_alpha 90.00
_cell_angle_beta 90.00
_cell_angle_gamma 90.00
_symmetry_space_group_name_H-M 'P 1'
_symmetry_Int_Tables_number 1
loop_
_symmetry_equiv_pos_as_xyz
'x,y,z'
loop_
_atom_site_label
_atom_site_type_symbol
_atom_site_fract_x
_atom_site_fract_y
_atom_site_fract_z
_atom_site_occupancy
Li1 Li 0.000 0.000 0.000 1
Li2 Li 0.000 0.500 0.500 1
Al1 Al 0.500 0.000 0.362 1
Al2 Al 0.500 0.000 0.638 1
Pb1 Pb 0.500 0.500 0.180 1
Pb2 Pb 0.500 0.500 0.820 1
```

Calculated values
symmetry: Pmmm
ΔE_f: 0.0036 eV/atom
crystal system: orthorhombic
volume: 23.1 Å³/atom

[8]
# LiAlPb

LiAlPb after structural relaxation (PBE, Alexandria via LeMat-Bulk).

```
data_LiAlPb
_cell_length_a 5.354
_cell_length_b 3.352
_cell_length_c 7.711
_cell_angle_alpha 90.00
_cell_angle_beta 109.27
_cell_angle_gamma 90.00
_symmetry_space_group_name_H-M 'P 1'
_symmetry_Int_Tables_number 1
loop_
_symmetry_equiv_pos_as_xyz
'x,y,z'
loop_
_atom_site_label
_atom_site_type_symbol
_atom_site_fract_x
_atom_site_fract_y
_atom_site_fract_z
_atom_site_occupancy
Li1 Li 0.000 0.000 0.000 1
Li2 Li 0.197 0.000 0.683 1
Al1 Al 0.709 0.000 0.386 1
Al2 Al 0.728 0.500 0.682 1
Pb1 Pb 0.201 0.500 0.357 1
Pb2 Pb 0.509 0.500 0.011 1
```

Calculated values
symmetry: Pm
ΔE_f: -0.0289 eV/atom
crystal system: monoclinic
volume: 21.8 Å³/atom

[9]
# LiAlPb

LiAlPb after structural relaxation (PBE, Alexandria via LeMat-Bulk).

```
data_LiAlPb
_cell_length_a 3.351
_cell_length_b 3.862
_cell_length_c 9.924
_cell_angle_alpha 90.00
_cell_angle_beta 90.00
_cell_angle_gamma 90.00
_symmetry_space_group_name_H-M 'P 1'
_symmetry_Int_Tables_number 1
loop_
_symmetry_equiv_pos_as_xyz
'x,y,z'
loop_
_atom_site_label
_atom_site_type_symbol
_atom_site_fract_x
_atom_site_fract_y
_atom_site_fract_z
_atom_site_occupancy
Li1 Li 0.000 0.000 0.000 1
Li2 Li 0.000 0.000 0.346 1
Al1 Al 0.000 0.000 0.619 1
Al2 Al 0.500 0.500 0.494 1
Pb1 Pb 0.500 0.500 0.181 1
Pb2 Pb 0.500 0.500 0.806 1
```

Calculated values
symmetry: Pmm2
ΔE_f: -0.0807 eV/atom
crystal system: orthorhombic
volume: 21.4 Å³/atom

[10]
# Li4AlPb

Li4AlPb after structural relaxation (PBE, Alexandria via LeMat-Bulk).

```
data_Li4AlPb
_cell_length_a 4.610
_cell_length_b 4.610
_cell_length_c 5.905
_cell_angle_alpha 90.00
_cell_angle_beta 90.00
_cell_angle_gamma 120.00
_symmetry_space_group_name_H-M 'P 1'
_symmetry_Int_Tables_number 1
loop_
_symmetry_equiv_pos_as_xyz
'x,y,z'
loop_
_atom_site_label
_atom_site_type_symbol
_atom_site_fract_x
_atom_site_fract_y
_atom_site_fract_z
_atom_site_occupancy
Li1 Li 0.333 0.667 0.242 1
Li2 Li 0.333 0.667 0.758 1
Li3 Li 0.667 0.333 0.242 1
Li4 Li 0.667 0.333 0.758 1
Al1 Al 0.000 0.000 0.000 1
Pb1 Pb 0.000 0.000 0.500 1
```

Calculated values
energy relative to the lowest polymorph listed for this composition: 0 meV/atom
symmetry: P6/mmm
ΔE_f: -0.1974 eV/atom
crystal system: hexagonal
volume: 18.1 Å³/atom

Among the records above, which one has the highest ΔE_f?
LiAl2Pb2

Look up the ΔE_f of the ninth one.
-0.0807 eV/atom

Look up the ΔE_f of the eighth one.
-0.0289 eV/atom